[1]
A plane-wave DFT calculation with PBE+U was carried out for a relaxed structure of Rb2NaNi3F12.

Its uncorrected energy is -215.1 eV per cell.

The structure belongs to space group R-3m (No. 166, hexagonal axes); the cell edges are 7.3508, 7.3508 and 17.1231 Å and the angles 90.00°, 90.00° and 120.00°. The distinct sites, in fractional coordinates, are Rb at (0.0000, 0.0000, 0.1150), Na at (0.0000, 0.0000, 0.5000), Ni at (0.0000, 0.5000, 0.0000), F at (0.0031, 0.5015, 0.1051) and F at (0.0692, 0.5346, 0.3335).



[2]
A plane-wave DFT calculation with PBE+U was carried out for a relaxed structure of Rb3Na2NiF8.

Its uncorrected energy is -57.1 eV per cell.

The structure belongs to space group P-3m1 (No. 164); the cell edges are 5.9825, 5.9825 and 8.1714 Å and the angles 90.00°, 90.00° and 120.00°. The distinct sites, in fractional coordinates, are Rb at (0.0000, 0.0000, 0.0000), Rb at (0.3333, 0.6667, 0.6401), Na at (0.3333, 0.6667, 0.2105), Ni at (0.0000, 0.0000, 0.5000), F at (0.1505, 0.3010, 0.3612) and F at (0.3333, 0.6667, 0.9544).



[3]
A plane-wave DFT calculation with PBE+U was carried out for a relaxed structure of RbNa2NiF6.

Its uncorrected energy is -82.0 eV per cell. Its excess energy over the best structure of this formula in the dataset is 0 meV per atom.

The structure belongs to space group P2_1/c (No. 14); the cell edges are 5.886, 5.837 and 10.162 Å and the angles 90.00°, 121.51° and 90.00°. The distinct sites, in fractional coordinates, are Rb at (0.000, 0.000, 0.000), Na at (0.270, 0.072, 0.771), Ni at (0.500, 0.000, 0.500), F at (0.140, 0.071, 0.307), F at (0.347, 0.630, 0.100) and F at (0.477, 0.215, 0.069).



[4]
A plane-wave DFT calculation with PBE+U was carried out for a relaxed structure of Rb3Na3NiF8.

Its uncorrected energy is -188.8 eV per cell.

The structure belongs to space group R-3m (No. 166, hexagonal axes); the cell edges are 6.9621, 6.9621 and 18.8807 Å and the angles 90.00°, 90.00° and 120.00°. The distinct sites, in fractional coordinates, are Rb at (0.0000, 0.5000, 0.0000), Na at (0.0000, 0.5000, 0.5000), Ni at (0.0000, 0.0000, 0.5000), F at (0.0000, 0.0000, 0.2331) and F at (0.0438, 0.5219, 0.2264).



[5]
A plane-wave DFT calculation with PBE+U was carried out for a relaxed structure of RbNa2NiF6.

Its uncorrected energy is -155.9 eV per cell. Its excess energy over the best structure of this formula in the dataset is 205 meV per atom.

The structure belongs to space group Fm-3m (No. 225); the cell edges are 8.871, 8.871 and 8.871 Å and the angles 90.00°, 90.00° and 90.00°. The distinct sites, in fractional coordinates, are Rb at (0.000, 0.000, 0.000), Na at (0.250, 0.250, 0.250), Ni at (0.000, 0.000, 0.500) and F at (0.000, 0.000, 0.286).



[6]
A plane-wave DFT calculation with PBE+U was carried out for a relaxed structure of Rb2NaNi2F7.

Its uncorrected energy is -102.1 eV per cell.

The structure belongs to space group C2/m (No. 12); the cell edges are 5.763, 5.763 and 11.262 Å and the angles 90.00°, 104.78° and 90.00°. The distinct sites, in fractional coordinates, are Rb at (0.183, 0.000, 0.367), Na at (0.000, 0.000, 0.000), Ni at (0.090, 0.500, 0.182), F at (0.000, 0.500, 0.000), F at (0.163, 0.250, 0.825) and F at (0.184, 0.500, 0.369).



[7]
A plane-wave DFT calculation with PBE+U was carried out for a relaxed structure of RbNaNiF6.

Its uncorrected energy is -35.1 eV per cell.

The structure belongs to space group P312 (No. 149); the cell edges are 5.6238, 5.6238 and 5.7256 Å and the angles 90.00°, 90.00° and 120.00°. The distinct sites, in fractional coordinates, are Rb at (0.0000, 0.0000, 0.0000), Na at (0.3333, 0.6667, 0.5000), Ni at (0.6667, 0.3333, 0.5000) and F at (0.4084, 0.0671, 0.6813).



[8]
A plane-wave DFT calculation with PBE+U was carried out for a relaxed structure of Na2NiRhF8.

Its uncorrected energy is -52.7 eV per cell.

The structure belongs to space group P2/m (No. 10); the cell edges are 5.014, 6.514 and 5.083 Å and the angles 90.00°, 93.04° and 90.00°. The distinct sites, in fractional coordinates, are Na at (0.000, 0.238, 0.000), Ni at (0.500, 0.000, 0.500), Rh at (0.500, 0.500, 0.500), F at (0.229, 0.500, 0.217), F at (0.230, 0.000, 0.222) and F at (0.319, 0.270, 0.669).



[9]
A plane-wave DFT calculation with PBE+U was carried out for a relaxed structure of NaNiRhF6.

Its uncorrected energy is -81.4 eV per cell.

The structure belongs to space group P4_2nm (No. 102); the cell edges are 4.860, 4.860 and 9.635 Å and the angles 90.00°, 90.00° and 90.00°. The distinct sites, in fractional coordinates, are Na at (0.000, 0.000, 0.000), Ni at (0.000, 0.000, 0.669), Rh at (0.000, 0.000, 0.332), F at (0.180, 0.180, 0.498), F at (0.203, 0.203, 0.179) and F at (0.206, 0.206, 0.823).



[10]
A plane-wave DFT calculation with PBE+U was carried out for a relaxed structure of Na2NiRhF6.

Its uncorrected energy is -44.5 eV per cell.

The structure belongs to space group P1 (No. 1); the cell edges are 5.474, 5.621 and 5.719 Å and the angles 118.04°, 118.47° and 90.23°. The distinct sites, in fractional coordinates, are Na at (0.000, 0.000, 0.000), Na at (0.495, 0.496, 0.993), Ni at (0.218, 0.653, 0.443), Rh at (0.717, 0.150, 0.440), F at (0.099, 0.406, 0.994), F at (0.332, 0.853, 0.889), F at (0.451, 0.387, 0.535), F at (0.578, 0.892, 0.547), F at (0.853, 0.385, 0.310) and F at (0.957, 0.886, 0.318).



[11]
A plane-wave DFT calculation with PBE+U was carried out for a relaxed structure of Na2NiRh3F12.

Its uncorrected energy is -246.9 eV per cell.

The structure belongs to space group R-3m (No. 166, hexagonal axes); the cell edges are 7.5013, 7.5013 and 18.1243 Å and the angles 90.00°, 90.00° and 120.00°. The distinct sites, in fractional coordinates, are Na at (0.0000, 0.0000, 0.1997), Ni at (0.0000, 0.0000, 0.5000), Rh at (0.0000, 0.5000, 0.0000), F at (0.0658, 0.5329, 0.1090) and F at (0.0766, 0.5383, 0.3669).



[12]
A plane-wave DFT calculation with PBE+U was carried out for a relaxed structure of Na2Ni3RhF12.

Its uncorrected energy is -231.1 eV per cell.

The structure belongs to space group R-3m (No. 166, hexagonal axes); the cell edges are 7.0897, 7.0897 and 18.7199 Å and the angles 90.00°, 90.00° and 120.00°. The distinct sites, in fractional coordinates, are Na at (0.0000, 0.0000, 0.0794), Ni at (0.0000, 0.5000, 0.0000), Rh at (0.0000, 0.0000, 0.5000), F at (0.0495, 0.5247, 0.3611) and F at (0.0699, 0.5350, 0.1088).